(1)
VASP calculation (PBE-GGA) on TeP after structural relaxation.

Summary:
Its space group is Cmme (67). The calculation puts the formation energy (no corrections) at 0.42 eV per atom. The density of states at the Fermi level comes out at 3.5 states/eV/cell. As for the total energy: -3.852 eV/atom.

Cell lengths 3.6451, 7.5768, 8.9309 Å; angles 90.00, 90.00, 90.00 degrees
With the nearest neighbours (Å) after each atom.
Fractional coordinates of all 8 atoms:
Te 0.0000 0.2500 0.2072  2 P 2.50
Te 0.0000 0.7500 0.7928  2 P 2.50
Te 0.5000 0.2500 0.7928  2 P 2.50
Te 0.5000 0.7500 0.2072  2 P 2.50
P 0.0000 0.2500 0.6006  2 Te 2.50, 2 P 2.56
P 0.0000 0.7500 0.3994  2 Te 2.50, 2 P 2.56
P 0.5000 0.2500 0.3994  2 Te 2.50, 2 P 2.56
P 0.5000 0.7500 0.6006  2 Te 2.50, 2 P 2.56


(2)
VASP calculation (PBE-GGA) on YH3Rh after structural relaxation.

Summary:
Its space group is I-4m2 (119). The density of states at the Fermi level comes out at 2.8 states/eV/cell. As for the total energy: -5.020 eV/atom.

Cell lengths 8.4329, 8.4329, 8.4329 Å; angles 154.36, 154.36, 36.57 degrees
With the nearest neighbours (Å) after each atom.
Fractional coordinates of all 10 atoms:
Y 0.1083 0.1083 0.0000  8 H 2.32-2.58
Y 0.8917 0.8917 0.0000  8 H 2.32-2.58
H 0.0029 0.5029 0.5000  2 Rh 1.87
H 0.1075 0.3345 0.7730  1 Rh 1.70, 1 H 1.70
H 0.4971 0.9971 0.5000  2 Rh 1.87
H 0.5615 0.3345 0.2270  1 Rh 1.70, 1 H 1.70
H 0.6655 0.4385 0.7730  1 Rh 1.70, 1 H 1.70
H 0.6655 0.8925 0.2270  1 Rh 1.70, 1 H 1.70
Rh 0.5000 0.5000 0.0000  4 H 1.87
Rh 0.7500 0.2500 0.5000  4 H 1.70


(3)
VASP calculation (PBE-GGA) on HgRuW2 after structural relaxation.

Summary:
Its space group is Pm (6). The formation energy is 1.89 eV/f.u. The calculation puts the energy above the most stable polymorph in this dataset at 0.059 eV/atom. The density of states at the Fermi level comes out at 3.0 states/eV/cell. As for the total energy: -8.399 eV/atom.

Cell lengths 2.8504, 4.0134, 5.8926 Å; angles 90.00, 90.80, 90.00 degrees
With the nearest neighbours (Å) after each atom.
Fractional coordinates of all 4 atoms:
Hg 0.0000 0.0000 0.0000  2 Hg 2.85, 6 W 2.87-3.03, 4 Ru 2.97-2.99
Ru 0.5009 0.5000 0.2856  5 W 2.55-2.76, 2 Ru 2.85
W 0.0232 0.0000 0.4868  4 Ru 2.71-2.76, 6 W 2.74-2.89, 2 Hg 2.87-3.03
W 0.4759 0.5000 0.7183  1 Ru 2.55, 4 W 2.74-2.85


(4)
VASP calculation (PBE-GGA) on BaPrScSe4 after structural relaxation.

Summary:
Its space group is Cmcm (63). The calculation puts the formation energy (no corrections) at -1.72 eV per atom. As for the total energy: -5.577 eV/atom.

Cell lengths 8.6793, 8.6793, 7.2768 Å; angles 90.00, 90.00, 131.18 degrees
With the nearest neighbours (Å) after each atom.
Fractional coordinates of all 14 atoms:
Ba 0.1076 0.8924 0.7500  5 Se 3.05-3.40
Ba 0.8924 0.1076 0.2500  5 Se 3.05-3.40
Pr 0.3808 0.6192 0.7500  1 Se 2.91
Pr 0.6192 0.3808 0.2500  1 Se 2.91
Sc 0.2524 0.7476 0.2500  5 Se 2.55-2.63
Sc 0.7476 0.2524 0.7500  5 Se 2.55-2.63
Se 0.0000 0.5000 0.0000  2 Sc 2.55
Se 0.0000 0.5000 0.5000  2 Sc 2.55
Se 0.0857 0.9143 0.2500  1 Sc 2.63
Se 0.4349 0.5651 0.2500  1 Sc 2.89, 1 Pr 2.91
Se 0.5000 0.0000 0.0000  2 Sc 2.55
Se 0.5000 0.0000 0.5000  2 Sc 2.55
Se 0.5651 0.4349 0.7500  1 Sc 2.89, 1 Pr 2.91
Se 0.9143 0.0857 0.7500  1 Sc 2.63


(5)
VASP calculation (PBE-GGA) on Nd6Tl2Os after structural relaxation.

Summary:
Its space group is Immm (71). The formation energy is -0.57 eV/f.u. The calculation puts the energy above the most stable polymorph in this dataset at 0.163 eV/atom. The density of states at the Fermi level comes out at 13.0 states/eV/cell. As for the total energy: -5.016 eV/atom.

Cell lengths 8.7509, 8.7509, 8.7509 Å; angles 143.34, 130.03, 63.55 degrees
With the nearest neighbours (Å) after each atom.
Fractional coordinates of all 9 atoms:
Nd 0.0955 0.3495 0.7460  1 Os 2.89
Nd 0.2199 0.0000 0.2199  2 Os 3.20, 2 Tl 3.25, 5 Nd 3.25-3.55
Nd 0.3966 0.6505 0.7460  1 Os 2.89
Nd 0.6034 0.3495 0.2540  1 Os 2.89
Nd 0.7801 0.0000 0.7801  2 Os 3.20, 2 Tl 3.25, 5 Nd 3.25-3.55
Nd 0.9045 0.6505 0.2540  1 Os 2.89
Tl 0.3319 0.8319 0.5000  8 Nd 3.25-3.34
Tl 0.6681 0.1681 0.5000  8 Nd 3.25-3.34
Os 0.0000 0.5000 0.5000  8 Nd 2.89-3.20


(6)
VASP calculation (PBE-GGA) on La3Dy5Ho3 after structural relaxation.

Summary:
Its space group is P-62m (189). The formation energy is 8.60 eV/f.u. The density of states at the Fermi level comes out at 13.6 states/eV/cell. As for the total energy: -3.902 eV/atom.

Cell lengths 9.6659, 9.6659, 5.3318 Å; angles 90.00, 90.00, 120.00 degrees
With the nearest neighbours (Å) after each atom.
Fractional coordinates of all 11 atoms:
La 0.0000 0.6400 0.0000  2 Ho 3.09, 4 Dy 3.10-3.14
La 0.3600 0.3600 0.0000  2 Ho 3.09, 4 Dy 3.10-3.14
La 0.6400 0.0000 0.0000  2 Ho 3.09, 4 Dy 3.10-3.14
Dy 0.0000 0.2720 0.0000  2 La 3.14, 2 Ho 3.33
Dy 0.2720 0.0000 0.0000  2 La 3.14, 2 Ho 3.33
Dy 0.3333 0.6667 0.0000  3 La 3.10
Dy 0.6667 0.3333 0.0000  3 La 3.10
Dy 0.7280 0.7280 0.0000  2 La 3.14, 2 Ho 3.33
Ho 0.0000 0.4779 0.5000  2 La 3.09, 2 Dy 3.33
Ho 0.4779 0.0000 0.5000  2 La 3.09, 2 Dy 3.33
Ho 0.5221 0.5221 0.5000  2 La 3.09, 2 Dy 3.33